# 1
An optimized crystal structure of Li2BeRe. Source: the Alexandria database, functional PBE-GGA.

```
Li2BeRe
1.0
2.5025 0.0000 0.0000
0.0000 2.5025 0.0000
0.0000 0.0000 8.4850
Li Be Re
2 1 1
direct
0.0000 0.0000 0.2385
0.0000 0.0000 0.7615
0.5000 0.5000 0.0000
0.5000 0.5000 0.5000
```

Summary:
Fermi-level density of states, states/eV per cell: 0.98
Calculated formation energy, kcal/mol of atoms: 7.8
E_tot, eV per atom: -4.66

# 2
An optimized crystal structure of Li3TbPa2Se6. Source: the Alexandria database, functional PBE-GGA.

```
Li3TbPa2Se6
1.0
3.4818 -6.0324 0.0000
3.4818 6.0324 0.0000
-2.3211 0.0000 6.6430
Li Tb Pa Se
3 1 2 6
direct
0.0000 0.0000 0.0000
0.3356 0.6644 0.0000
0.6644 0.3356 0.0000
0.5000 0.5000 0.5000
0.1670 0.8330 0.5000
0.8330 0.1670 0.5000
0.0797 0.4127 0.2385
0.2536 0.2536 0.7609
0.4127 0.0797 0.2385
0.5873 0.9203 0.7615
0.7464 0.7464 0.2391
0.9203 0.5873 0.7615
```

Summary:
Uncorrected formation energy, eV/atom: -1.40
Fermi-level density of states, states/eV per cell: 9.76
E_tot, eV per atom: -5.58

# 3
An optimized crystal structure of NbZnAsO. Source: the Alexandria database, functional PBE-GGA.

```
NbZnAsO
1.0
3.0878 -1.7863 0.0000
3.0878 1.7863 0.0000
-0.0060 0.0000 11.3784
Nb Zn As O
2 2 2 2
direct
0.1673 0.1673 0.1242
0.8327 0.8327 0.8758
0.1670 0.1670 0.4253
0.8330 0.8330 0.5747
0.5005 0.5005 0.2787
0.4995 0.4995 0.7213
0.1667 0.1667 0.9302
0.8333 0.8333 0.0698
```

Summary:
Uncorrected formation energy, eV/atom: -0.86
Fermi-level density of states, states/eV per cell: 4.89
E_tot, eV per atom: -6.10

# 4
An optimized crystal structure of Tb2GdAl. Source: the Alexandria database, functional PBE-GGA.

```
Tb2GdAl
1.0
0.0000 3.7912 3.7912
3.7912 0.0000 3.7912
3.7912 3.7912 0.0000
Tb Gd Al
2 1 1
direct
0.2500 0.2500 0.2500
0.7500 0.7500 0.7500
0.0000 0.0000 0.0000
0.5000 0.5000 0.5000
```

Summary:
Fermi-level density of states, states/eV per cell: 6.68
Energy above the most stable polymorph in this dataset, eV per formula unit: 0.528
Calculated formation energy, kcal/mol of atoms: -1.4
E_tot, eV per atom: -6.83

# 5
An optimized crystal structure of Tb8In2Ir3. Source: the Alexandria database, functional PBE-GGA.

```
Tb8In2Ir3
1.0
8.8525 0.0000 0.0000
0.0000 4.9557 0.0000
-3.2903 0.0000 8.2226
Tb In Ir
8 2 3
direct
0.1111 0.0000 0.3890
0.1412 0.5000 0.8658
0.3659 0.5000 0.6414
0.3863 0.0000 0.1136
0.6137 0.0000 0.8864
0.6341 0.5000 0.3586
0.8588 0.5000 0.1342
0.8889 0.0000 0.6110
0.2449 0.5000 0.2558
0.7551 0.5000 0.7442
0.2463 0.0000 0.7464
0.5000 0.5000 0.0000
0.7537 0.0000 0.2536
```

Summary:
Fermi-level density of states, states/eV per cell: 10.15
Calculated formation energy, kcal/mol of atoms: -11.5
E_tot, eV per atom: -5.82

# 6
An optimized crystal structure of GaTeS2. Source: the Alexandria database, functional PBE-GGA.

```
GaTeS2
1.0
-3.3345 3.3345 4.4991
3.3345 -3.3345 4.4991
3.3345 3.3345 -4.4991
Ga Te S
2 2 4
direct
0.0000 0.0000 0.0000
0.7500 0.2500 0.5000
0.2500 0.7500 0.5000
0.5000 0.5000 0.0000
0.0588 0.6250 0.9338
0.3750 0.3088 0.4338
0.6912 0.1250 0.0662
0.8750 0.9412 0.5662
```

Summary:
Uncorrected formation energy, eV/atom: 0.05
Fermi-level density of states, states/eV per cell: 11.37
Energy above the most stable polymorph in this dataset, eV per formula unit: 1.235
E_tot, eV per atom: -3.56

# 7
An optimized crystal structure of AcPm2PrY2. Source: the Alexandria database, functional PBE-GGA.

```
AcPm2PrY2
1.0
6.7557 0.0000 0.0000
0.0000 18.3667 0.0000
0.0000 0.0000 3.5077
Ac Pm Pr Y
2 4 2 4
direct
0.0000 0.0000 0.0000
0.5000 0.5000 0.5000
0.2078 0.3470 0.5000
0.2922 0.8470 0.0000
0.7078 0.1530 0.0000
0.7922 0.6530 0.5000
0.0000 0.5000 0.0000
0.5000 0.0000 0.5000
0.2126 0.1843 0.0000
0.2874 0.6843 0.5000
0.7126 0.3157 0.5000
0.7874 0.8157 0.0000
```

Summary:
Fermi-level density of states, states/eV per cell: 22.28
Calculated formation energy, kcal/mol of atoms: 6.5
E_tot, eV per atom: -4.94

# 8
An optimized crystal structure of Al3FeRh4. Source: the Alexandria database, functional PBE-GGA.

```
Al3FeRh4
1.0
4.2465 0.0000 0.0000
0.0000 4.2465 0.0000
0.0000 0.0000 6.0180
Al Fe Rh
3 1 4
direct
0.0000 0.0000 0.0000
0.0000 0.0000 0.5000
0.5000 0.5000 0.0000
0.5000 0.5000 0.5000
0.0000 0.5000 0.2481
0.0000 0.5000 0.7519
0.5000 0.0000 0.2481
0.5000 0.0000 0.7519
```

Summary:
Fermi-level density of states, states/eV per cell: 4.11
Calculated formation energy, kcal/mol of atoms: -19.5
E_tot, eV per atom: -6.98

# 9
An optimized crystal structure of CrIrCl. Source: the Alexandria database, functional PBE-GGA.

```
CrIrCl
1.0
0.0000 2.9176 2.9176
2.9176 0.0000 2.9176
2.9176 2.9176 0.0000
Cr Ir Cl
1 1 1
direct
0.0000 0.0000 0.0000
0.2500 0.2500 0.2500
0.7500 0.7500 0.7500
```

Summary:
Uncorrected formation energy, eV/atom: 0.73
Fermi-level density of states, states/eV per cell: 2.65
Energy above the most stable polymorph in this dataset, eV per formula unit: 1.901
E_tot, eV per atom: -6.05

# 10
An optimized crystal structure of Tb3H12Rh5. Source: the Alexandria database, functional PBE-GGA.

```
Tb3H12Rh5
1.0
-5.7986 5.7986 5.7986
5.7986 -5.7986 5.7986
5.7986 5.7986 -5.7986
Tb H Rh
12 48 20
direct
0.1250 0.2500 0.3750
0.1250 0.3750 0.7500
0.2500 0.3750 0.1250
0.2500 0.8750 0.6250
0.3750 0.1250 0.2500
0.3750 0.7500 0.1250
0.6250 0.2500 0.8750
0.6250 0.8750 0.7500
0.7500 0.1250 0.3750
0.7500 0.6250 0.8750
0.8750 0.6250 0.2500
0.8750 0.7500 0.6250
0.0186 0.1923 0.1047
0.0186 0.3263 0.9139
0.0861 0.6047 0.4124
0.0861 0.9814 0.6737
0.0876 0.6923 0.6737
0.0876 0.8953 0.4139
0.1047 0.0186 0.1923
0.1047 0.5861 0.9124
0.1737 0.1923 0.5876
0.1737 0.4814 0.5861
0.1923 0.1047 0.0186
0.1923 0.5876 0.1737
0.3077 0.3263 0.9124
0.3077 0.4814 0.3953
0.3263 0.9124 0.3077
0.3263 0.9139 0.0186
0.3953 0.3077 0.4814
0.3953 0.5876 0.9139
0.4124 0.0861 0.6047
0.4124 0.8263 0.8077
0.4139 0.0876 0.8953
0.4139 0.8263 0.5186
0.4814 0.3953 0.3077
0.4814 0.5861 0.1737
0.5186 0.4139 0.8263
0.5186 0.6047 0.6923
0.5861 0.1737 0.4814
0.5861 0.9124 0.1047
0.5876 0.1737 0.1923
0.5876 0.9139 0.3953
0.6047 0.4124 0.0861
0.6047 0.6923 0.5186
0.6737 0.0861 0.9814
0.6737 0.0876 0.6923
0.6923 0.5186 0.6047
0.6923 0.6737 0.0876
0.8077 0.4124 0.8263
0.8077 0.8953 0.9814
0.8263 0.5186 0.4139
0.8263 0.8077 0.4124
0.8953 0.4139 0.0876
0.8953 0.9814 0.8077
0.9124 0.1047 0.5861
0.9124 0.3077 0.3263
0.9139 0.0186 0.3263
0.9139 0.3953 0.5876
0.9814 0.6737 0.0861
0.9814 0.8077 0.8953
0.0000 0.0000 0.0000
0.0000 0.0000 0.5000
0.0000 0.5000 0.0000
0.0000 0.5000 0.5000
0.1250 0.7500 0.8750
0.1250 0.8750 0.2500
0.2500 0.1250 0.8750
0.2500 0.6250 0.3750
0.3750 0.2500 0.6250
0.3750 0.6250 0.7500
0.5000 0.0000 0.0000
0.5000 0.0000 0.5000
0.5000 0.5000 0.0000
0.5000 0.5000 0.5000
0.6250 0.3750 0.2500
0.6250 0.7500 0.3750
0.7500 0.3750 0.6250
0.7500 0.8750 0.1250
0.8750 0.1250 0.7500
0.8750 0.2500 0.1250
```

Summary:
Fermi-level density of states, states/eV per cell: 20.05
E_tot, eV per atom: -4.93

# 11
An optimized crystal structure of KZnCl2. Source: the Alexandria database, functional PBE-GGA.

```
KZnCl2
1.0
-2.0390 2.0390 7.3519
2.0390 -2.0390 7.3519
2.0390 2.0390 -7.3519
K Zn Cl
1 1 2
direct
0.0000 0.0000 0.0000
0.2500 0.7500 0.5000
0.5000 0.5000 0.0000
0.7500 0.2500 0.5000
```

Summary:
Uncorrected formation energy, eV/atom: -0.93
Fermi-level density of states, states/eV per cell: 1.20
Energy above the most stable polymorph in this dataset, eV per formula unit: 0.777
E_tot, eV per atom: -2.45

# 12
An optimized crystal structure of GeBrCl4. Source: the Alexandria database, functional PBE-GGA.

```
GeBrCl4
1.0
-3.7093 3.7093 5.0566
3.7093 -3.7093 5.0566
3.7093 3.7093 -5.0566
Ge Br Cl
1 1 4
direct
0.0000 0.0000 0.0000
0.7500 0.2500 0.5000
0.0511 0.8971 0.7049
0.1029 0.8078 0.1540
0.1922 0.3462 0.2951
0.6538 0.9489 0.8460
```

Summary:
Uncorrected formation energy, eV/atom: -0.55
Fermi-level density of states, states/eV per cell: 10.53
E_tot, eV per atom: -2.82